A plane-wave DFT calculation with PBE was carried out for a relaxed structure of LaAgP4O12.

Summary:
space group	P2_1/c, No. 14
uncorrected energy	-7.190	eV/atom

Structure (POSCAR):
```
LaAgP4O12
1.0
7.253 0.000 0.000
0.000 13.108 0.000
-7.127 0.000 9.962
La Ag P O
4 4 16 48
Cartesian
0.104 2.766 0.240
-3.460 3.788 5.222
3.585 9.320 4.741
0.022 10.342 9.722
-3.505 2.915 9.265
0.059 3.639 4.284
0.067 9.469 5.678
3.630 10.193 0.697
-1.634 1.136 3.058
-5.198 5.418 8.039
-4.588 8.229 8.058
-1.024 11.433 3.077
0.884 8.052 2.615
-2.680 11.610 7.596
-1.726 7.824 7.447
1.837 11.838 2.466
-1.712 1.270 7.496
1.852 5.284 2.515
2.805 1.498 2.366
-0.758 5.056 7.347
1.150 1.675 6.885
4.713 4.879 1.904
5.323 7.690 1.923
1.760 11.972 6.904
-5.828 1.666 8.356
-2.265 4.888 3.375
-0.457 1.336 2.154
-4.021 5.218 7.135
-5.129 6.873 8.736
-1.566 12.790 3.755
-1.860 2.113 4.176
-5.424 4.442 9.157
-5.081 9.370 8.900
-1.518 10.292 3.919
-0.628 7.564 2.859
-4.192 12.098 7.840
0.959 9.114 1.568
-2.605 10.548 6.549
-2.842 2.151 7.019
0.721 4.403 2.038
-2.032 7.824 5.975
1.532 11.838 0.994
-3.009 8.153 8.347
0.554 11.509 3.366
2.249 1.802 1.006
-1.314 4.752 5.988
1.569 6.764 1.971
-1.995 12.898 6.952
2.120 0.210 3.010
-1.443 6.344 7.992
1.440 8.356 3.975
-2.124 11.306 8.956
-0.429 1.599 6.596
3.135 4.955 1.615
-1.406 1.270 8.968
2.157 5.284 3.987
-0.596 8.705 7.924
2.968 10.957 2.943
2.730 2.560 3.413
-0.833 3.994 8.394
4.317 1.010 2.122
0.753 5.544 7.103
1.643 2.816 6.043
5.207 3.738 1.062
5.549 8.667 0.805
1.985 10.996 5.786
1.691 0.319 6.207
5.255 6.236 1.226
4.146 7.891 2.827
0.583 11.772 7.808
2.390 8.220 6.587
5.954 11.442 1.606
```